Record 1
The following is a DFT calculation (PBE-GGA) of a relaxed structure of LaIrRh2.

Results
- Formation enthalpy at 0 K: 0.03 eV/atom
- Total magnetic moment: 0.000 μB per formula unit
- Relative energy among the computed polymorphs: 534 meV per atom
- D(E_F): 4.81 states/eV per cell
- Mass density: 12.51 g/cm³

Cell and atoms, written as CIF:
```
data_LaIrRh2
_chemical_formula_sum 'La1 Ir1 Rh2'
_cell_length_a 2.9819
_cell_length_b 2.9819
_cell_length_c 8.0147
_cell_angle_alpha 90.00
_cell_angle_beta 90.00
_cell_angle_gamma 90.00
_space_group_name_H-M_alt 'P 1'
_space_group_IT_number 1
_space_group_name_Hall 'P 1'
loop_
_atom_site_label
_atom_site_type_symbol
_atom_site_fract_x
_atom_site_fract_y
_atom_site_fract_z
La1 La 0.0000 0.0000 0.0000
Ir1 Ir 0.5000 0.5000 0.7042
Rh1 Rh 0.0000 0.0000 0.4982
Rh2 Rh 0.5000 0.5000 0.2816
```

Record 2
The following is a DFT calculation (PBE-GGA) of a relaxed structure of AcDy2In9.

Results
- Formation enthalpy at 0 K: -0.40 eV/atom
- Total magnetic moment: 0.000 μB per formula unit
- D(E_F): 6.83 states/eV per cell
- Mass density: 8.25 g/cm³

Cell and atoms, written as CIF:
```
data_AcDy2In9
_chemical_formula_sum 'Ac1 Dy2 In9'
_cell_length_a 4.7470
_cell_length_b 4.7470
_cell_length_c 14.1605
_cell_angle_alpha 90.00
_cell_angle_beta 90.00
_cell_angle_gamma 90.00
_space_group_name_H-M_alt 'P 1'
_space_group_IT_number 1
_space_group_name_Hall 'P 1'
loop_
_atom_site_label
_atom_site_type_symbol
_atom_site_fract_x
_atom_site_fract_y
_atom_site_fract_z
Ac1 Ac 0.0000 0.0000 0.0000
Dy1 Dy 0.0000 0.0000 0.3415
Dy2 Dy 0.0000 0.0000 0.6585
In1 In 0.0000 0.5000 0.1789
In2 In 0.0000 0.5000 0.5000
In3 In 0.0000 0.5000 0.8211
In4 In 0.5000 0.0000 0.1789
In5 In 0.5000 0.0000 0.5000
In6 In 0.5000 0.0000 0.8211
In7 In 0.5000 0.5000 0.0000
In8 In 0.5000 0.5000 0.3372
In9 In 0.5000 0.5000 0.6628
```

Record 3
The following is a DFT calculation (PBE-GGA) of a relaxed structure of AcNd6DyY2.

Results
- Formation enthalpy at 0 K: 0.12 eV/atom
- Total magnetic moment: 0.000 μB per formula unit
- D(E_F): 28.80 states/eV per cell
- Mass density: 6.67 g/cm³

Cell and atoms, written as CIF:
```
data_AcNd6DyY2
_chemical_formula_sum 'Ac2 Nd12 Dy2 Y4'
_cell_length_a 9.0578
_cell_length_b 9.0578
_cell_length_c 9.7370
_cell_angle_alpha 92.76
_cell_angle_beta 92.76
_cell_angle_gamma 116.27
_space_group_name_H-M_alt 'P 1'
_space_group_IT_number 1
_space_group_name_Hall 'P 1'
loop_
_atom_site_label
_atom_site_type_symbol
_atom_site_fract_x
_atom_site_fract_y
_atom_site_fract_z
Ac1 Ac 0.0346 0.9654 0.7500
Ac2 Ac 0.9654 0.0346 0.2500
Nd1 Nd 0.0035 0.5497 0.6819
Nd2 Nd 0.1162 0.7565 0.0566
Nd3 Nd 0.2435 0.8838 0.4434
Nd4 Nd 0.2925 0.5199 0.8830
Nd5 Nd 0.4503 0.9965 0.8181
Nd6 Nd 0.4801 0.7075 0.6170
Nd7 Nd 0.5199 0.2925 0.3830
Nd8 Nd 0.5497 0.0035 0.1819
Nd9 Nd 0.7075 0.4801 0.1170
Nd10 Nd 0.7565 0.1162 0.5566
Nd11 Nd 0.8838 0.2435 0.9434
Nd12 Nd 0.9965 0.4503 0.3181
Dy1 Dy 0.4116 0.5884 0.2500
Dy2 Dy 0.5884 0.4116 0.7500
Y1 Y 0.2078 0.3084 0.5507
Y2 Y 0.3084 0.2078 0.0507
Y3 Y 0.6916 0.7922 0.9493
Y4 Y 0.7922 0.6916 0.4493
```